# 1
A plane-wave DFT calculation with PBEsol was carried out for a geometry-optimized NiIrPt structure.

Computed properties:
Crystal system: cubic
Calculated formation energy: 1.4 eV/f.u.
Energy relative to the lowest polymorph listed for this composition: 9.95 kcal/mol of atoms

Cell lengths 5.6210, 5.6210, 5.6210 Å; angles 90.00, 90.00, 90.00 degrees
Positions (direct):
1 Ni 0.0000 0.0000 0.0000
2 Ni 0.0000 0.5000 0.5000
3 Ni 0.5000 0.0000 0.5000
4 Ni 0.5000 0.5000 0.0000
5 Ir 0.2500 0.2500 0.2500
6 Ir 0.2500 0.7500 0.7500
7 Ir 0.7500 0.2500 0.7500
8 Ir 0.7500 0.7500 0.2500
9 Pt 0.2500 0.2500 0.7500
10 Pt 0.2500 0.7500 0.2500
11 Pt 0.7500 0.2500 0.2500
12 Pt 0.7500 0.7500 0.7500



# 2
A plane-wave DFT calculation with PBEsol was carried out for a geometry-optimized FeSi2Mo structure.

Computed properties:
Crystal system: tetragonal
Uncorrected formation energy: -292 meV per atom

Cell lengths 4.0876, 4.0876, 2.9146 Å; angles 90.00, 90.00, 90.00 degrees
Positions (direct):
1 Fe 0.0000 0.0000 0.0000
2 Si 0.0000 0.5000 0.5000
3 Si 0.5000 0.0000 0.5000
4 Mo 0.5000 0.5000 0.0000



# 3
A plane-wave DFT calculation with PBEsol was carried out for a geometry-optimized Cs2KAsCl6 structure.

Computed properties:
Crystal system: cubic
Uncorrected formation energy: -1491 meV per atom

Cell lengths 7.6554, 7.6554, 7.6554 Å; angles 60.00, 60.00, 60.00 degrees
Positions (direct):
1 Cs 0.2500 0.2500 0.2500
2 Cs 0.7500 0.7500 0.7500
3 K 0.0000 0.0000 0.0000
4 As 0.5000 0.5000 0.5000
5 Cl 0.2711 0.2711 0.7289
6 Cl 0.2711 0.7289 0.2711
7 Cl 0.2711 0.7289 0.7289
8 Cl 0.7289 0.2711 0.2711
9 Cl 0.7289 0.2711 0.7289
10 Cl 0.7289 0.7289 0.2711



# 4
A plane-wave DFT calculation with PBEsol was carried out for a geometry-optimized MnAl3Ru structure.

Computed properties:
Crystal system: cubic
Calculated formation energy: 3.7 eV/f.u.

Cell lengths 4.3298, 4.3298, 4.3298 Å; angles 90.00, 90.00, 90.00 degrees
Positions (direct):
1 Mn 0.0000 0.0000 0.0000
2 Al 0.0000 0.0000 0.5000
3 Al 0.0000 0.5000 0.0000
4 Al 0.5000 0.0000 0.0000
5 Ru 0.5000 0.5000 0.5000